[1]
LiAc2B10: relaxed, PBE.

Unit cell a=4.275 b=5.888 c=11.712 alpha=90.00 beta=90.00 gamma=90.00
Fractional coordinates of all 26 atoms:
Li1 0.000 0.000 0.000
Ac1 0.500 0.290 0.865
Ac2 0.500 0.790 0.635
B1 0.700 0.229 0.121
B2 0.000 0.373 0.198
B3 0.300 0.771 0.879
B4 0.300 0.271 0.621
B5 0.000 0.127 0.698
B6 0.700 0.771 0.879
B7 0.000 0.929 0.806
B8 0.300 0.229 0.121
B9 0.000 0.627 0.802
B10 0.000 0.571 0.306
Li2 0.000 0.500 0.500
B11 0.300 0.729 0.379
B12 0.700 0.729 0.379
Ac3 0.500 0.710 0.135
B13 0.000 0.887 0.453
B14 0.700 0.271 0.621
B15 0.000 0.071 0.194
Ac4 0.500 0.210 0.365
B16 0.000 0.613 0.953
B17 0.000 0.873 0.302
B18 0.000 0.429 0.694
B19 0.000 0.113 0.547
B20 0.000 0.387 0.047

Values from the calculation:
Space-group type: Pbam
DFT formation energy (eV/atom): -0.393
E_tot (eV/f.u.): -82.0
Magnetization (μB/atom): 0.0000

=====

[2]
NaNp2U3S6: relaxed, PBE.

Unit cell a=3.821 b=7.927 c=8.790 alpha=105.11 beta=102.55 gamma=90.00
Fractional coordinates of all 12 atoms:
S1 0.666 0.581 0.331
U1 0.166 0.830 0.332
Np1 0.169 0.335 0.337
Np2 0.831 0.665 0.663
S2 0.334 0.919 0.668
S3 0.334 0.419 0.669
S4 0.000 0.252 0.000
S5 0.666 0.081 0.332
Na1 0.500 0.000 0.000
S6 0.000 0.748 0.000
U2 0.500 0.500 0.000
U3 0.834 0.170 0.668

Values from the calculation:
ΔE_f (raw) (kJ/mol of atoms): -129
Space-group type: C2/m
E_tot (eV/f.u.): -101.8
Magnetization (μB/atom): 0.1207

=====

Question: Among the records above, which one has the highest magnetization?
Answer: NaNp2U3S6

=====

Question: Look up the magnetization of the second one.
Answer: 0.1207 μB/atom